# 1
BaSrLiPt: relaxed, PBE.

It has space group F-43m (No. 216), with a = 7.7786 Å, b = 7.7786 Å, c = 7.7786 Å, α = 90.00°, β = 90.00° and γ = 90.00°. The inequivalent atoms are Ba at (0.0000, 0.0000, 0.0000), Sr at (0.0000, 0.0000, 0.5000), Li at (0.2500, 0.2500, 0.2500) and Pt at (0.2500, 0.2500, 0.7500).

Its size of the total moment is 0.00 μB/f.u. As for the raw total energy: -51.7 eV per cell. The value obtained for the density of states at the Fermi level is 11.3 states/eV per cell. The energy of formation is -340 meV/atom. For the energy above the most stable polymorph in this dataset, the calculation gives 149.1 meV per atom. Its crystal system is cubic.

# 2
DyScPt2: relaxed, PBE.

It has space group P2_1/m (No. 11), with a = 5.7693 Å, b = 4.5756 Å, c = 6.5147 Å, α = 90.00°, β = 111.41° and γ = 90.00°. The inequivalent atoms are Dy at (0.1693, 0.2500, 0.3889), Sc at (0.3688, 0.7500, 0.1093), Pt at (0.1154, 0.2500, 0.8905) and Pt at (0.3635, 0.7500, 0.6986).

Its size of the total moment is 0.00 μB/f.u. As for the raw total energy: -55.8 eV per cell. The value obtained for the density of states at the Fermi level is 5.8 states/eV per cell. The energy of formation is -1222 meV/atom. For the energy above the most stable polymorph in this dataset, the calculation gives 0.0 meV per atom. Its crystal system is monoclinic.

# 3
KV3Rh: relaxed, PBE.

It has space group Pm-3m (No. 221), with a = 4.2402 Å, b = 4.2402 Å, c = 4.2402 Å, α = 90.00°, β = 90.00° and γ = 90.00°. The inequivalent atoms are K at (0.0000, 0.0000, 0.0000), V at (0.0000, 0.0000, 0.5000) and Rh at (0.5000, 0.5000, 0.5000).

Its size of the total moment is 0.00 μB/f.u. As for the raw total energy: -24.1 eV per cell. The value obtained for the density of states at the Fermi level is 7.6 states/eV per cell. The energy of formation is 2341 meV/atom. For the energy above the most stable polymorph in this dataset, the calculation gives 1287.7 meV per atom. Its crystal system is cubic.

# 4
Y5Ni2Hg: relaxed, PBE.

It has space group I4/mcm (No. 140), with a = 7.7213 Å, b = 7.7213 Å, c = 13.2134 Å, α = 90.00°, β = 90.00° and γ = 90.00°. The inequivalent atoms are Y at (0.0000, 0.0000, 0.0000), Y at (0.1607, 0.3393, 0.1360), Ni at (0.1260, 0.3740, 0.5000) and Hg at (0.0000, 0.0000, 0.2500).

Its size of the total moment is 0.00 μB/f.u. As for the raw total energy: -188.2 eV per cell. The value obtained for the density of states at the Fermi level is 37.0 states/eV per cell. The energy of formation is -359 meV/atom. Its crystal system is tetragonal.